PRuICl2: relaxed, PBEsol.

Crystal system: tetragonal
DOS(E_F) (states/eV per cell): 4.5
Magnetic moment (μB/f.u.): 0.00
Volume (Å³/cell): 102.8
E_form (uncorrected) (eV per atom): 0.15

a = 4.6462 Å, b = 4.7029 Å, c = 4.7029 Å
α = 90.00°, β = 90.00°, γ = 90.00°
Positions (direct):
I 0.5000 0.5000 0.5000
Ru 0.0000 0.0000 0.0000
P 0.5000 0.0000 0.0000
Cl 0.0000 0.0000 0.5000
Cl 0.0000 0.5000 0.0000